# Pm6HoPb10 | Alexandria via LeMat-Bulk | PBE | optimized geometry
data_Pm6HoPb10
_cell_length_a 9.5320
_cell_length_b 9.5320
_cell_length_c 6.5726
_cell_angle_alpha 90.00
_cell_angle_beta 90.00
_cell_angle_gamma 120.00
_symmetry_space_group_name_H-M 'P -3 1 m'
_symmetry_Int_Tables_number 162
_symmetry_space_group_name_Hall '-P 3 2'
loop_
_atom_site_label
_atom_site_type_symbol
_atom_site_fract_x
_atom_site_fract_y
_atom_site_fract_z
Pm1 Pm 0.0000 0.3887 0.2639
Ho1 Ho 0.0000 0.0000 0.5000
Pb1 Pb 0.0000 0.2587 0.7956
Pb2 Pb 0.3333 0.6667 0.0000
Pb3 Pb 0.3333 0.6667 0.5000
# M_tot = 0.0 μB per cell
# Energy relative to the elements = -0.400 eV per atom
# Raw total energy = -76.97 eV per cell